## Ca2Ge3Pt5 (GGA-PBE)

Data for a relaxed structure of Ca2Ge3Pt5.

Computed properties:
* D(E_F): 9.682 states/eV per cell
* total energy: -5.520 eV/atom
* symmetry: No. 36

Unit cell a=12.498 b=12.498 c=6.861 alpha=90.00 beta=90.00 gamma=160.46
Element x y z (fractional)
Pt1 0.057 0.943 0.555
Pt2 0.723 0.277 0.501
Pt3 0.277 0.723 0.001
Pt4 0.943 0.057 0.055
Ge1 0.777 0.223 0.804
Pt5 0.121 0.879 0.193
Pt6 0.879 0.121 0.693
Ge2 0.380 0.620 0.968
Pt7 0.595 0.405 0.860
Pt8 0.698 0.302 0.073
Ge3 0.223 0.777 0.304
Ca1 0.524 0.476 0.226
Ge4 0.620 0.380 0.468
Pt9 0.302 0.698 0.573
Ge5 0.956 0.044 0.426
Ca2 0.824 0.176 0.260
Pt10 0.405 0.595 0.360
Ge6 0.044 0.956 0.926
Ca3 0.476 0.524 0.726
Ca4 0.176 0.824 0.760


## In2HgPb3 (GGA-PBE)

Data for a relaxed structure of In2HgPb3.

Computed properties:
* D(E_F): 4.464 states/eV per cell
* excess energy over the best structure of this formula in the dataset: 0 meV per atom
* symmetry: No. 11

Unit cell a=3.523 b=7.517 c=13.170 alpha=90.27 beta=90.00 gamma=90.00
Element x y z (fractional)
Pb1 0.250 0.389 0.760
Pb2 0.750 0.611 0.240
In1 0.750 0.091 0.898
In2 0.250 0.375 0.420
Pb3 0.750 0.654 0.930
Hg1 0.750 0.142 0.263
In3 0.250 0.909 0.102
Pb4 0.250 0.872 0.412
In4 0.750 0.625 0.580
Pb5 0.750 0.128 0.588
Hg2 0.250 0.858 0.737
Pb6 0.250 0.346 0.070


## Th2ZrTl (GGA-PBE)

Data for a relaxed structure of Th2ZrTl.

Computed properties:
* D(E_F): 5.507 states/eV per cell
* excess energy over the best structure of this formula in the dataset: 312 meV per atom
* symmetry: No. 166

Unit cell a=3.353 b=3.353 c=12.133 alpha=82.06 beta=82.06 gamma=60.00
Element x y z (fractional)
Zr1 0.000 0.000 0.000
Tl1 0.500 0.500 0.500
Th1 0.086 0.086 0.742
Th2 0.914 0.914 0.258


## SrAs2Br (GGA-PBE)

Data for a relaxed structure of SrAs2Br.

Computed properties:
* D(E_F): 1.405 states/eV per cell
* formation energy without anion corrections: -0.14 eV/atom
* excess energy over the best structure of this formula in the dataset: 764 meV per atom
* symmetry: No. 123

Unit cell a=5.439 b=5.439 c=3.480 alpha=90.00 beta=90.00 gamma=90.00
Element x y z (fractional)
Sr1 0.000 0.500 0.500
As1 0.500 0.500 0.000
As2 0.000 0.000 0.000
Br1 0.500 0.000 0.500


## Tl2Cd6Hg3 (GGA-PBE)

Data for a relaxed structure of Tl2Cd6Hg3.

Computed properties:
* D(E_F): 4.030 states/eV per cell
* total energy: -0.976 eV/atom
* symmetry: No. 189

Unit cell a=4.922 b=8.281 c=8.281 alpha=120.00 beta=90.00 gamma=90.00
Element x y z (fractional)
Hg1 0.500 0.000 0.564
Tl1 0.000 0.333 0.667
Hg2 0.500 0.436 0.436
Tl2 0.000 0.667 0.333
Cd1 0.000 0.220 0.220
Cd2 0.500 0.775 0.775
Cd3 0.000 0.780 0.000
Cd4 0.000 0.000 0.780
Hg3 0.500 0.564 0.000
Cd5 0.500 0.225 0.000
Cd6 0.500 0.000 0.225


## Ca3Ga6Cu5 (GGA-PBE)

Data for a relaxed structure of Ca3Ga6Cu5.

Computed properties:
* D(E_F): 11.176 states/eV per cell
* total energy: -3.515 eV/atom
* symmetry: No. 59

Unit cell a=4.201 b=9.428 c=12.521 alpha=90.00 beta=90.00 gamma=90.00
Element x y z (fractional)
Ga1 0.000 0.587 0.320
Ga2 0.500 0.413 0.180
Ga3 0.500 0.413 0.820
Ca1 0.500 0.757 0.804
Ga4 0.000 0.427 0.500
Cu1 0.500 0.136 0.842
Cu2 0.000 0.546 0.110
Ca2 0.000 0.243 0.696
Ca3 0.000 0.243 0.304
Ca4 0.500 0.757 0.196
Ga5 0.000 0.030 0.500
Cu3 0.500 0.454 0.610
Cu4 0.000 0.864 0.658
Ga6 0.500 0.573 0.000
Ga7 0.500 0.015 0.351
Ga8 0.500 0.015 0.649
Cu5 0.500 0.454 0.390
Ca5 0.000 0.260 0.000
Cu6 0.000 0.864 0.342
Cu7 0.500 0.213 0.500
Ca6 0.500 0.740 0.500
Cu8 0.000 0.546 0.890
Ga9 0.000 0.985 0.149
Ga10 0.500 0.970 0.000
Ga11 0.000 0.587 0.680
Cu9 0.000 0.787 0.000
Cu10 0.500 0.136 0.158
Ga12 0.000 0.985 0.851


## Ce2ErPtRh5 (GGA-PBE)

Data for a relaxed structure of Ce2ErPtRh5.

Computed properties:
* D(E_F): 16.901 states/eV per cell
* total energy: -7.005 eV/atom
* symmetry: No. 140

Unit cell a=8.084 b=8.084 c=7.906 alpha=120.75 beta=120.75 gamma=90.00
Element x y z (fractional)
Ce1 0.362 0.862 0.000
Rh1 0.000 0.000 0.000
Ce2 0.862 0.638 0.000
Pt1 0.250 0.750 0.500
Er1 0.750 0.750 0.500
Rh2 0.500 0.500 0.000
Rh3 0.662 0.162 0.726
Rh4 0.162 0.064 0.726
Ce3 0.638 0.138 0.000
Rh5 0.838 0.936 0.274
Rh6 0.436 0.338 0.274
Rh7 0.338 0.838 0.274
Rh8 0.936 0.436 0.274
Ce4 0.138 0.362 0.000
Er2 0.250 0.250 0.500
Rh9 0.564 0.662 0.726
Pt2 0.750 0.250 0.500
Rh10 0.064 0.564 0.726


## Ac2SiNi6Ir (GGA-PBE)

Data for a relaxed structure of Ac2SiNi6Ir.

Computed properties:
* D(E_F): 7.556 states/eV per cell
* formation energy without anion corrections: -0.40 eV/atom
* symmetry: No. 12

Unit cell a=6.620 b=6.246 c=6.619 alpha=78.62 beta=44.37 gamma=96.01
Element x y z (fractional)
Ni1 0.247 0.403 0.845
Ni2 0.721 0.736 0.488
Si1 0.000 0.000 0.000
Ir1 0.500 0.500 0.000
Ac1 0.237 0.787 0.450
Ac2 0.763 0.213 0.550
Ni3 0.279 0.264 0.512
Ni4 0.753 0.597 0.155
Ni5 0.776 0.264 0.015
Ni6 0.224 0.736 0.985


## TiNb5Tc4 (GGA-PBE)

Data for a relaxed structure of TiNb5Tc4.

Computed properties:
* D(E_F): 4.719 states/eV per cell
* total energy: -10.269 eV/atom
* symmetry: No. 123

Unit cell a=3.192 b=3.192 c=16.207 alpha=90.00 beta=90.00 gamma=90.00
Element x y z (fractional)
Tc1 0.000 0.000 0.796
Ti1 0.000 0.000 0.000
Tc2 0.000 0.000 0.401
Nb1 0.500 0.500 0.107
Nb2 0.500 0.500 0.500
Nb3 0.500 0.500 0.893
Nb4 0.500 0.500 0.697
Tc3 0.000 0.000 0.599
Nb5 0.500 0.500 0.303
Tc4 0.000 0.000 0.204


## CdMoAuBr2 (GGA-PBE)

Data for a relaxed structure of CdMoAuBr2.

Computed properties:
* D(E_F): 0.923 states/eV per cell
* formation energy without anion corrections: 0.79 eV/atom
* symmetry: No. 123

Unit cell a=5.397 b=5.414 c=5.397 alpha=90.00 beta=90.00 gamma=90.00
Element x y z (fractional)
Br1 0.500 0.000 0.000
Br2 0.000 0.000 0.500
Au1 0.000 0.500 0.000
Mo1 0.500 0.500 0.500
Cd1 0.000 0.000 0.000


## Rb2AgPb2 (GGA-PBE)

Data for a relaxed structure of Rb2AgPb2.

Computed properties:
* D(E_F): 8.646 states/eV per cell
* excess energy over the best structure of this formula in the dataset: 312 meV per atom
* symmetry: No. 127

Unit cell a=11.094 b=11.094 c=3.483 alpha=90.00 beta=90.00 gamma=90.00
Element x y z (fractional)
Ag1 0.500 0.500 0.000
Rb1 0.203 0.297 0.000
Pb1 0.093 0.593 0.500
Rb2 0.797 0.703 0.000
Rb3 0.297 0.797 0.000
Pb2 0.407 0.093 0.500
Rb4 0.703 0.203 0.000
Pb3 0.593 0.907 0.500
Ag2 0.000 0.000 0.000
Pb4 0.907 0.407 0.500


## SmGa2RuPt (GGA-PBE)

Data for a relaxed structure of SmGa2RuPt.

Computed properties:
* D(E_F): 2.537 states/eV per cell
* total energy: -5.932 eV/atom
* symmetry: No. 119

Unit cell a=4.278 b=4.278 c=5.922 alpha=111.17 beta=111.17 gamma=90.00
Element x y z (fractional)
Sm1 0.000 0.000 0.000
Ga1 0.376 0.376 0.751
Ru1 0.750 0.250 0.500
Ga2 0.624 0.624 0.249
Pt1 0.250 0.750 0.500


## Sm3PSN (GGA-PBE)

Data for a relaxed structure of Sm3PSN.

Computed properties:
* D(E_F): 4.230 states/eV per cell
* formation energy without anion corrections: -1.53 eV/atom
* symmetry: No. 11

Unit cell a=4.007 b=8.142 c=9.514 alpha=99.62 beta=90.00 gamma=90.00
Element x y z (fractional)
P1 0.250 0.652 0.151
Sm1 0.250 0.820 0.469
S1 0.250 0.163 0.172
Sm2 0.750 0.180 0.531
S2 0.750 0.837 0.828
Sm3 0.250 0.098 0.841
N1 0.750 0.918 0.395
N2 0.250 0.082 0.605
Sm4 0.750 0.406 0.148
Sm5 0.750 0.902 0.159
Sm6 0.250 0.594 0.852
P2 0.750 0.348 0.849


## SrZnO5 (GGA-PBE)

Data for a relaxed structure of SrZnO5.

Computed properties:
* D(E_F): 1.046 states/eV per cell
* formation energy without anion corrections: -1.02 eV/atom
* excess energy over the best structure of this formula in the dataset: 17 meV per atom
* symmetry: No. 1

Unit cell a=4.005 b=4.543 c=6.275 alpha=68.90 beta=90.39 gamma=90.75
Element x y z (fractional)
O1 0.794 0.374 0.513
Sr1 0.965 0.133 0.999
O2 0.115 0.379 0.507
O3 0.465 0.023 0.217
O4 0.144 0.737 0.797
Zn1 0.462 0.867 0.528
O5 0.784 0.730 0.797


## NbAgCl3 (GGA-PBE)

Data for a relaxed structure of NbAgCl3.

Computed properties:
* D(E_F): 6.040 states/eV per cell
* formation energy without anion corrections: 0.36 eV/atom
* excess energy over the best structure of this formula in the dataset: 730 meV per atom
* symmetry: No. 221

Unit cell a=5.046 b=5.046 c=5.046 alpha=90.00 beta=90.00 gamma=90.00
Element x y z (fractional)
Cl1 0.000 0.500 0.000
Cl2 0.000 0.000 0.500
Cl3 0.500 0.000 0.000
Ag1 0.000 0.000 0.000
Nb1 0.500 0.500 0.500


## Hg8AuO6 (GGA-PBE)

Data for a relaxed structure of Hg8AuO6.

Computed properties:
* D(E_F): 4.344 states/eV per cell
* formation energy without anion corrections: -0.10 eV/atom
* symmetry: No. 148

Unit cell a=6.484 b=6.484 c=6.484 alpha=94.39 beta=94.39 gamma=94.39
Element x y z (fractional)
Hg1 0.157 0.617 0.838
Hg2 0.838 0.157 0.617
Hg3 0.284 0.284 0.284
Hg4 0.843 0.383 0.162
Hg5 0.617 0.838 0.157
Au1 0.000 0.000 0.000
O1 0.330 0.617 0.161
Hg6 0.716 0.716 0.716
O2 0.839 0.670 0.383
O3 0.670 0.383 0.839
O4 0.383 0.839 0.670
O5 0.617 0.161 0.330
Hg7 0.162 0.843 0.383
O6 0.161 0.330 0.617
Hg8 0.383 0.162 0.843